Density functional theory data (meta-GGA SCAN) for a crystal of SrLaAsSe2 relaxed with PBEsol.

Output
ΔE_f (raw): -1.0506 eV per atom
E: -0.9627 hartree per atom
Calculated density: 4.41 g/cm3

Cell: 5.6299 5.6299 5.4539 Å, 90.00 90.00 90.00°
With the nearest neighbours (Å) after each atom.
Space group P4/mmm (No. 123)
One atom of each set of equivalent atoms:
Sr  0.0000  0.0000  0.0000 (multiplicity 1)  8 Se 3.92, 4 As 3.98
La  0.5000  0.5000  0.5000 (multiplicity 1)  2 As 2.73, 4 Se 2.81
As  0.5000  0.5000  0.0000 (multiplicity 1)  2 La 2.73
Se  0.0000  0.5000  0.5000 (multiplicity 2)  2 La 2.81